# 1
The following is a PBE calculation of a geometry-optimized CuBi2RhO6 structure, from the Alexandria database.

abc: 5.262 5.477 10.430
angles: 90.00 120.02 90.00
Positions (direct):
Cu  0.000  0.000  0.000
Cu  0.000  0.500  0.500
Bi  0.214  0.050  0.745
Bi  0.214  0.450  0.245
Bi  0.786  0.550  0.755
Bi  0.786  0.950  0.255
Rh  0.500  0.000  0.500
Rh  0.500  0.500  0.000
O  0.139  0.219  0.435
O  0.139  0.281  0.935
O  0.205  0.720  0.425
O  0.205  0.780  0.925
O  0.405  0.053  0.287
O  0.405  0.447  0.787
O  0.595  0.553  0.213
O  0.595  0.947  0.713
O  0.795  0.220  0.075
O  0.795  0.280  0.575
O  0.861  0.719  0.065
O  0.861  0.781  0.565

Results
* uncorrected formation energy: -9.1 eV/f.u.
* DOS at the Fermi energy: 0.450 states/eV/atom
* V: 260.2 Å³/cell
* raw total energy: -5.8043 eV/atom

=====

# 2
The following is a PBE calculation of a geometry-optimized CuBi2RuO8 structure, from the Alexandria database.

abc: 4.813 4.882 6.872
angles: 86.16 84.87 86.76
Positions (direct):
Cu  0.000  0.000  0.000
Bi  0.471  0.470  0.755
Bi  0.529  0.530  0.245
Ru  0.000  0.000  0.500
O  0.165  0.125  0.738
O  0.245  0.172  0.309
O  0.252  0.679  0.503
O  0.266  0.703  0.006
O  0.734  0.297  0.994
O  0.748  0.321  0.497
O  0.755  0.828  0.691
O  0.835  0.875  0.262

Results
* uncorrected formation energy: -9.6 eV/f.u.
* DOS at the Fermi energy: 0.469 states/eV/atom
* V: 160.3 Å³/cell
* raw total energy: -5.8626 eV/atom

=====

# 3
The following is a PBE calculation of a geometry-optimized CuBi2RuO6 structure, from the Alexandria database.

abc: 5.531 6.122 9.310
angles: 90.00 125.90 90.00
Positions (direct):
Cu  0.000  0.000  0.000
Cu  0.000  0.500  0.500
Bi  0.239  0.068  0.748
Bi  0.239  0.432  0.248
Bi  0.761  0.568  0.752
Bi  0.761  0.932  0.252
Ru  0.500  0.000  0.500
Ru  0.500  0.500  0.000
O  0.147  0.159  0.459
O  0.147  0.341  0.959
O  0.285  0.712  0.443
O  0.285  0.788  0.943
O  0.361  0.044  0.247
O  0.361  0.456  0.747
O  0.639  0.544  0.253
O  0.639  0.956  0.753
O  0.715  0.212  0.057
O  0.715  0.288  0.557
O  0.853  0.659  0.041
O  0.853  0.841  0.541

Results
* uncorrected formation energy: -9.6 eV/f.u.
* DOS at the Fermi energy: 0.474 states/eV/atom
* V: 255.3 Å³/cell
* raw total energy: -6.0445 eV/atom

=====

# 4
The following is a PBE calculation of a geometry-optimized Cu2BiRuO6 structure, from the Alexandria database.

abc: 6.764 6.764 5.611
angles: 94.46 94.46 89.56
Positions (direct):
Cu  0.085  0.264  0.303
Cu  0.264  0.085  0.803
Cu  0.736  0.915  0.197
Cu  0.915  0.736  0.697
Bi  0.400  0.600  0.750
Bi  0.600  0.400  0.250
Ru  0.218  0.782  0.250
Ru  0.782  0.218  0.750
O  0.038  0.208  0.637
O  0.123  0.662  0.932
O  0.208  0.038  0.137
O  0.264  0.501  0.368
O  0.338  0.877  0.568
O  0.499  0.736  0.132
O  0.501  0.264  0.868
O  0.662  0.123  0.432
O  0.736  0.499  0.632
O  0.792  0.962  0.863
O  0.877  0.338  0.068
O  0.962  0.792  0.363

Results
* uncorrected formation energy: -7.8 eV/f.u.
* DOS at the Fermi energy: 0.419 states/eV/atom
* V: 255.1 Å³/cell
* raw total energy: -5.8946 eV/atom

=====

# 5
The following is a PBE calculation of a geometry-optimized CuBiRuO5 structure, from the Alexandria database.

abc: 5.859 5.859 7.392
angles: 106.00 106.00 106.58
Positions (direct):
Cu  0.063  0.937  0.750
Cu  0.937  0.063  0.250
Bi  0.443  0.557  0.750
Bi  0.557  0.443  0.250
Ru  0.000  0.500  0.000
Ru  0.500  0.000  0.500
O  0.145  0.728  0.896
O  0.223  0.306  0.918
O  0.272  0.855  0.604
O  0.306  0.223  0.418
O  0.321  0.679  0.250
O  0.679  0.321  0.750
O  0.694  0.777  0.582
O  0.728  0.145  0.396
O  0.777  0.694  0.082
O  0.855  0.272  0.104

Results
* uncorrected formation energy: -7.1 eV/f.u.
* DOS at the Fermi energy: 0.504 states/eV/atom
* V: 215.8 Å³/cell
* raw total energy: -6.1403 eV/atom

=====

# 6
The following is a PBE calculation of a geometry-optimized Cu2Bi3Sb3O14 structure, from the Alexandria database.

abc: 7.300 7.300 7.300
angles: 62.11 62.11 62.11
Positions (direct):
Cu  0.000  0.000  0.000
Cu  0.500  0.500  0.500
Bi  0.000  0.500  0.500
Bi  0.500  0.000  0.500
Bi  0.500  0.500  0.000
Sb  0.000  0.000  0.500
Sb  0.000  0.500  0.000
Sb  0.500  0.000  0.000
O  0.072  0.679  0.679
O  0.085  0.085  0.662
O  0.085  0.662  0.085
O  0.321  0.321  0.928
O  0.321  0.928  0.321
O  0.338  0.915  0.915
O  0.391  0.391  0.391
O  0.609  0.609  0.609
O  0.662  0.085  0.085
O  0.679  0.072  0.679
O  0.679  0.679  0.072
O  0.915  0.338  0.915
O  0.915  0.915  0.338
O  0.928  0.321  0.321

Results
* uncorrected formation energy: -26.4 eV/f.u.
* DOS at the Fermi energy: 0.256 states/eV/atom
* V: 288.1 Å³/cell
* raw total energy: -5.8177 eV/atom

=====

# 7
The following is a PBE calculation of a geometry-optimized Cu4BiSb3O12 structure, from the Alexandria database.

abc: 6.821 6.821 6.821
angles: 106.96 106.96 106.96
Positions (direct):
Cu  0.000  0.000  0.000
Cu  0.000  0.404  0.596
Cu  0.404  0.596  0.000
Cu  0.596  0.000  0.404
Bi  0.500  0.500  0.500
Sb  0.071  0.929  0.500
Sb  0.500  0.071  0.929
Sb  0.929  0.500  0.071
O  0.000  0.594  0.406
O  0.000  0.828  0.172
O  0.160  0.243  0.507
O  0.172  0.000  0.828
O  0.243  0.507  0.160
O  0.406  0.000  0.594
O  0.493  0.757  0.840
O  0.507  0.160  0.243
O  0.594  0.406  0.000
O  0.757  0.840  0.493
O  0.828  0.172  0.000
O  0.840  0.493  0.757

Results
* uncorrected formation energy: -19.7 eV/f.u.
* DOS at the Fermi energy: 0.335 states/eV/atom
* V: 264.5 Å³/cell
* raw total energy: -5.5906 eV/atom

=====

# 8
The following is a PBE calculation of a geometry-optimized CuBi2SbO6 structure, from the Alexandria database.

abc: 5.979 6.524 9.157
angles: 90.00 127.23 90.00
Positions (direct):
Cu  0.000  0.000  0.000
Cu  0.000  0.500  0.500
Bi  0.264  0.061  0.756
Bi  0.264  0.439  0.256
Bi  0.736  0.561  0.744
Bi  0.736  0.939  0.244
Sb  0.500  0.000  0.500
Sb  0.500  0.500  0.000
O  0.156  0.117  0.457
O  0.156  0.383  0.957
O  0.340  0.713  0.445
O  0.340  0.787  0.945
O  0.357  0.050  0.233
O  0.357  0.450  0.733
O  0.643  0.550  0.267
O  0.643  0.950  0.767
O  0.660  0.213  0.055
O  0.660  0.287  0.555
O  0.844  0.617  0.043
O  0.844  0.883  0.543

Results
* uncorrected formation energy: -11.4 eV/f.u.
* V: 284.4 Å³/cell
* raw total energy: -5.7081 eV/atom

=====

# 9
The following is a PBE calculation of a geometry-optimized CuBiSbO5 structure, from the Alexandria database.

abc: 5.770 5.770 7.583
angles: 102.20 102.20 112.01
Positions (direct):
Cu  0.175  0.825  0.750
Cu  0.825  0.175  0.250
Bi  0.173  0.827  0.250
Bi  0.827  0.173  0.750
Sb  0.500  0.500  0.000
Sb  0.500  0.500  0.500
O  0.142  0.199  0.423
O  0.199  0.142  0.923
O  0.224  0.629  0.923
O  0.371  0.776  0.577
O  0.431  0.569  0.250
O  0.569  0.431  0.750
O  0.629  0.224  0.423
O  0.776  0.371  0.077
O  0.801  0.858  0.077
O  0.858  0.801  0.577

Results
* uncorrected formation energy: -8.6 eV/f.u.
* DOS at the Fermi energy: 0.210 states/eV/atom
* V: 216.7 Å³/cell
* raw total energy: -5.6847 eV/atom

=====

# 10
The following is a PBE calculation of a geometry-optimized CuBiSe2O8 structure, from the Alexandria database.

abc: 5.550 5.550 6.717
angles: 90.00 90.00 120.00
Positions (direct):
Cu  0.000  0.000  0.000
Bi  0.000  0.000  0.500
Se  0.333  0.667  0.706
Se  0.667  0.333  0.294
O  0.164  0.327  0.784
O  0.164  0.836  0.784
O  0.327  0.164  0.216
O  0.333  0.667  0.458
O  0.667  0.333  0.542
O  0.673  0.836  0.784
O  0.836  0.164  0.216
O  0.836  0.673  0.216

Results
* uncorrected formation energy: -7.9 eV/f.u.
* DOS at the Fermi energy: 0.194 states/eV/atom
* V: 179.2 Å³/cell
* raw total energy: -5.2097 eV/atom

=====

# 11
The following is a PBE calculation of a geometry-optimized CuBi2Se2O structure, from the Alexandria database.

abc: 3.178 3.178 15.236
angles: 90.00 90.00 90.00
Positions (direct):
Cu  0.000  0.000  0.000
Bi  0.000  0.000  0.363
Bi  0.000  0.000  0.637
Se  0.000  0.000  0.149
Se  0.000  0.000  0.851
O  0.000  0.000  0.500

Results
* uncorrected formation energy: -0.2 eV/f.u.
* DOS at the Fermi energy: 0.382 states/eV/atom
* V: 153.8 Å³/cell
* raw total energy: -4.0017 eV/atom

=====

# 12
The following is a PBE calculation of a geometry-optimized CuBi2Se4O12 structure, from the Alexandria database.

abc: 10.831 7.530 8.167
angles: 90.00 110.77 90.00
Positions (direct):
Cu  0.000  0.000  0.000
Cu  0.000  0.500  0.500
Bi  0.400  0.114  0.253
Bi  0.400  0.386  0.753
Bi  0.600  0.614  0.247
Bi  0.600  0.886  0.747
Se  0.131  0.175  0.387
Se  0.131  0.325  0.887
Se  0.313  0.676  0.358
Se  0.313  0.824  0.858
Se  0.687  0.176  0.142
Se  0.687  0.324  0.642
Se  0.869  0.675  0.113
Se  0.869  0.825  0.613
O  0.047  0.126  0.823
O  0.047  0.374  0.323
O  0.145  0.116  0.185
O  0.145  0.384  0.685
O  0.296  0.229  0.477
O  0.296  0.271  0.977
O  0.314  0.617  0.564
O  0.314  0.883  0.064
O  0.412  0.523  0.306
O  0.412  0.977  0.806
O  0.422  0.641  0.924
O  0.422  0.859  0.424
O  0.578  0.141  0.576
O  0.578  0.359  0.076
O  0.588  0.023  0.194
O  0.588  0.477  0.694
O  0.686  0.117  0.936
O  0.686  0.383  0.436
O  0.704  0.729  0.023
O  0.704  0.771  0.523
O  0.855  0.616  0.315
O  0.855  0.884  0.815
O  0.953  0.626  0.677
O  0.953  0.874  0.177

Results
* uncorrected formation energy: -17.5 eV/f.u.
* V: 622.8 Å³/cell
* raw total energy: -5.4080 eV/atom

=====

Q: Number 7 is which compound?
A: Cu4BiSb3O12